Computed, not measured: Tb2FeCo3 after structural relaxation at the PBEsol level of DFT.

a = 4.8961 Å, b = 4.8961 Å, c = 4.8961 Å
α = 62.88°, β = 62.88°, γ = 62.88°
Closest atoms and distances in Å follow each position.
Sites, in units of the cell vectors:
Co: 0.0000 0.5000 0.0000  2 Fe 2.45, 4 Co 2.55
Co: 0.5000 0.0000 0.0000  2 Fe 2.45, 4 Co 2.55
Co: 0.0000 0.0000 0.5000  2 Fe 2.45, 4 Co 2.55
Tb: 0.6268 0.6268 0.6268  9 Co 2.84-2.96, 4 Tb 2.97-3.09, 3 Fe 2.99
Tb: 0.3732 0.3732 0.3732  9 Co 2.84-2.96, 4 Tb 2.97-3.09, 3 Fe 2.99
Fe: 0.0000 0.0000 0.0000  6 Co 2.45

Results
N(E_F)   7.543 states/eV/cell
Total magnetic moment   4.24 μB per cell
Space-group type   R-3m, No. 166
DFT formation energy   -0.173 eV/atom